Record 1
An optimized crystal structure of MnCd5Au6. Source: the Alexandria database, functional PBE-GGA.

Cell and atoms, written as extended XYZ:
```
12
Lattice="4.665 -0.211 0.547 -0.019 6.423 2.634 0.782 0.494 7.948" Properties=species:S:1:pos:R:3 pbc="T T T"
Mn 0.000 0.000 0.000
Au 4.113 3.850 4.562
Au 4.123 0.499 3.187
Au 2.318 4.880 2.319
Au 3.109 1.826 8.810
Au 1.304 6.207 7.942
Au 1.314 2.855 6.567
Cd 3.700 1.305 5.989
Cd 1.790 2.252 3.669
Cd -0.010 3.211 1.317
Cd 3.638 4.454 7.460
Cd 1.727 5.401 5.140
```

Output
Energy of formation   -14 kJ per mole of atoms
Symmetry   C2/m, No. 12
Density   13.052 g cm⁻³
VASP energy   -2.929 eV/atom

=====

Record 2
An optimized crystal structure of TaAl2Ru3. Source: the Alexandria database, functional PBE-GGA.

Cell and atoms, written as extended XYZ:
```
6
Lattice="-2.921 1.040 -0.037 -0.813 -2.211 2.017 1.892 5.561 6.856" Properties=species:S:1:pos:R:3 pbc="T T T"
Ta -0.921 2.195 4.418
Al -0.270 4.108 6.777
Al -1.572 0.281 2.059
Ru 0.000 0.000 0.000
Ru 1.269 3.731 4.599
Ru 0.623 1.830 2.256
```

Output
Energy of formation   -65 kJ per mole of atoms
Symmetry   P4/mmm, No. 123
Density   10.293 g cm⁻³
VASP energy   -8.539 eV/atom

=====

Record 3
An optimized crystal structure of Dy7Y12Mg. Source: the Alexandria database, functional PBE-GGA.

Cell and atoms, written as extended XYZ:
```
20
Lattice="9.219 -0.126 -0.189 -2.684 8.821 -0.189 -2.684 -3.571 8.067" Properties=species:S:1:pos:R:3 pbc="T T T"
Dy -0.709 5.901 -0.063
Dy -2.015 5.551 6.829
Dy 5.893 6.453 2.269
Dy 1.925 2.562 3.845
Dy -2.042 -1.330 5.421
Dy 5.866 -0.428 0.861
Dy 4.560 -0.778 7.753
Y 4.838 0.536 4.445
Y 4.681 2.869 1.551
Y 2.467 -0.499 2.231
Y 5.015 3.924 4.772
Y 1.454 -0.607 5.483
Y 2.375 2.128 7.291
Y 1.476 2.995 0.399
Y 2.397 5.731 2.207
Y -1.165 1.199 2.918
Y 1.384 5.622 5.459
Y -0.830 2.255 6.139
Y -0.988 4.587 3.245
Mg 0.000 0.000 0.000
```

Output
Energy of formation   15 kJ per mole of atoms
Symmetry   R-3, No. 148
Density   5.776 g cm⁻³
VASP energy   -5.416 eV/atom

=====

Record 4
An optimized crystal structure of YHo2Sc2. Source: the Alexandria database, functional PBE-GGA.

Cell and atoms, written as extended XYZ:
```
10
Lattice="9.064 0.000 0.000 0.000 9.064 0.000 0.000 0.000 3.515" Properties=species:S:1:pos:R:3 pbc="T T T"
Y 0.000 0.000 0.000
Y 4.532 4.532 0.000
Ho 2.942 7.474 1.757
Ho 7.474 6.121 1.757
Ho 6.121 1.589 1.757
Ho 1.589 2.942 1.757
Sc 1.091 5.622 0.000
Sc 5.622 7.973 0.000
Sc 7.973 3.441 0.000
Sc 3.441 1.091 0.000
```

Output
Energy of formation   6 kJ per mole of atoms
Symmetry   P4/mbm, No. 127
Density   5.851 g cm⁻³
VASP energy   -5.591 eV/atom

=====

Record 5
An optimized crystal structure of CaPrAgRh. Source: the Alexandria database, functional PBE-GGA.

Cell and atoms, written as extended XYZ:
```
4
Lattice="5.109 0.000 0.000 2.554 4.424 0.000 2.554 1.475 4.171" Properties=species:S:1:pos:R:3 pbc="T T T"
Pr 0.000 0.000 0.000
Ca 5.109 2.950 2.086
Rh 7.663 4.424 3.129
Ag 2.554 1.475 1.043
```

Output
Energy of formation   -37 kJ per mole of atoms
Symmetry   F-43m, No. 216
Density   6.899 g cm⁻³
VASP energy   -4.633 eV/atom

=====

Record 6
An optimized crystal structure of Nd5Er4Sc2. Source: the Alexandria database, functional PBE-GGA.

Cell and atoms, written as extended XYZ:
```
11
Lattice="-0.938 3.326 -0.730 1.178 -1.562 -8.627 -10.623 -3.359 -1.647" Properties=species:S:1:pos:R:3 pbc="T T T"
Nd -2.805 -1.731 -4.281
Nd -0.677 -1.808 -7.368
Nd 0.589 -0.781 -4.313
Nd -8.769 -3.112 -2.905
Nd -6.641 -3.189 -5.993
Er -6.128 -0.618 -3.486
Er -8.767 -2.557 -8.922
Er -4.257 -0.976 -7.518
Er -1.617 0.962 -2.082
Sc -5.600 -3.582 -9.121
Sc -3.845 -1.338 -1.152
```

Output
Energy of formation   8 kJ per mole of atoms
Symmetry   P2/m, No. 10
Density   7.001 g cm⁻³
VASP energy   -4.897 eV/atom

=====

Record 7
An optimized crystal structure of In4Hg2Cl5. Source: the Alexandria database, functional PBE-GGA.

Cell and atoms, written as extended XYZ:
```
11
Lattice="2.133 10.960 0.535 -2.133 10.960 0.535 0.000 1.547 9.460" Properties=species:S:1:pos:R:3 pbc="T T T"
In 0.000 15.389 5.475
In 0.000 22.916 8.551
In 0.000 8.079 5.056
In 0.000 0.551 1.979
Hg 0.000 12.781 4.193
Hg 0.000 10.687 6.337
Cl 0.000 3.524 6.863
Cl 0.000 19.943 3.667
Cl 0.000 5.908 3.577
Cl 0.000 10.960 0.535
Cl 0.000 17.559 6.953
```

Output
Symmetry   C2/m, No. 12
Raw formation energy   -0.660 eV/atom
Density   3.927 g cm⁻³
VASP energy   -2.550 eV/atom

=====

Record 8
An optimized crystal structure of Ac2Zn3Rh2. Source: the Alexandria database, functional PBE-GGA.

Cell and atoms, written as extended XYZ:
```
7
Lattice="4.141 0.000 0.000 -2.070 5.297 -0.301 0.000 -2.821 7.150" Properties=species:S:1:pos:R:3 pbc="T T T"
Ac 2.070 3.185 1.475
Ac 0.000 -0.709 5.374
Zn 2.070 0.000 0.000
Zn 2.070 0.395 3.045
Zn 0.000 2.081 3.804
Rh 2.070 1.595 5.539
Rh 0.000 0.882 1.310
```

Output
Energy of formation   -52 kJ per mole of atoms
Symmetry   C2/m, No. 12
Density   9.272 g cm⁻³
VASP energy   -4.358 eV/atom